Below is a relaxed PaRe2Mo crystal, with properties calculated at the PBE level.

Volume   70.0 Å³/f.u.
Excess energy over the best structure of this formula in the dataset   236 meV per atom
ΔH_f (0 K)   309 meV per atom

abc: 2.8834 2.8834 29.1487
angles: 90.00 90.00 120.00
Space group R-3m (No. 166, hexagonal axes)
Asymmetric unit:
Pa: 0.0000 0.0000 0.0000
Re: 0.0000 0.0000 0.2408
Mo: 0.0000 0.0000 0.5000